Density functional theory data (GGA-PBE) for a relaxed LaPm2DyY5 crystal.

## Properties
E_form = 0.246 eV/atom

a = 8.808 Å, b = 8.808 Å, c = 15.545 Å
α = 90.00°, β = 90.00°, γ = 90.00°
Space group I4/mcm (No. 140)
Asymmetric unit:
La  0.000  0.000  0.250 [4 per cell]
Pm  0.116  0.384  0.000 [8 per cell]
Dy  0.000  0.500  0.250 [4 per cell]
Y  0.000  0.000  0.000 [4 per cell]
Y  0.208  0.292  0.365 [16 per cell]